A relaxed LiNdTl crystal, computed with PBE.

a = 4.6660 Å, b = 5.0130 Å, c = 6.6901 Å
α = 90.00°, β = 110.45°, γ = 90.00°
Atoms (fractional coordinates):
Li1 0.7613 0.7500 0.5232
Li2 0.2387 0.2500 0.4768
Nd1 0.0968 0.7500 0.1968
Nd2 0.9032 0.2500 0.8032
Tl1 0.3861 0.7500 0.7716
Tl2 0.6139 0.2500 0.2284

Summary:
Space-group type: P2_1/m
Uncorrected energy, eV for the cell shown: -19.60
DOS(E_F), states/eV per atom: 0.762
ΔE_f, eV per atom: -0.250
Relative energy among the computed polymorphs, meV/atom: 38

A relaxed TlInSnAu crystal, computed with PBE.

a = 3.4802 Å, b = 3.4795 Å, c = 8.5881 Å
α = 90.01°, β = 89.99°, γ = 90.03°
Atoms (fractional coordinates):
In1 0.1458 0.8543 0.7051
Tl1 0.6468 0.3533 0.0050
Sn1 0.6460 0.3540 0.4329
Au1 0.1465 0.8535 0.2457

Summary:
Space-group type: Cm
Uncorrected energy, eV for the cell shown: -12.45
DOS(E_F), states/eV per atom: 0.413
ΔE_f, eV per atom: -0.015
Relative energy among the computed polymorphs, meV/atom: 0

A relaxed Tb5HoErSc2 crystal, computed with PBE.

a = 5.5859 Å, b = 11.0520 Å, c = 9.3238 Å
α = 90.00°, β = 90.00°, γ = 104.64°
Atoms (fractional coordinates):
Tb1 0.9880 0.9760 0.5107
Tb2 0.3057 0.6113 0.7185
Tb3 0.7346 0.4692 0.8323
Tb4 0.6943 0.3887 0.2185
Tb5 0.0120 0.0240 0.0107
Tb6 0.2654 0.5308 0.3323
Tb7 0.6083 0.2166 0.5473
Tb8 0.3917 0.7834 0.0473
Tb9 0.4684 0.9368 0.7487
Tb10 0.5316 0.0632 0.2487
Sc1 0.8659 0.7318 0.2029
Sc2 0.1136 0.2272 0.3251
Sc3 0.8864 0.7728 0.8251
Sc4 0.1341 0.2682 0.7029
Er1 0.5989 0.1977 0.9211
Er2 0.4011 0.8023 0.4211
Ho1 0.8154 0.6309 0.5175
Ho2 0.1846 0.3691 0.0175

Summary:
Space-group type: Cmc2_1
Uncorrected energy, eV for the cell shown: -86.94
DOS(E_F), states/eV per atom: 1.528
ΔE_f, eV per atom: 0.165

A relaxed Ce7Si2Hg2 crystal, computed with PBE.

a = 6.9470 Å, b = 6.8208 Å, c = 6.9470 Å
α = 89.99°, β = 106.73°, γ = 90.01°
Atoms (fractional coordinates):
Ce1 0.0002 0.7062 0.4997
Ce2 0.4999 0.2452 0.5001
Ce3 0.0000 0.0000 0.0000
Ce4 0.5003 0.7062 0.9998
Ce5 0.9998 0.2938 0.5003
Ce6 0.4997 0.2938 0.0002
Ce7 0.5001 0.7548 0.4999
Si1 0.2735 0.9999 0.7265
Si2 0.7265 0.0001 0.2735
Hg1 0.1687 0.5000 0.1687
Hg2 0.8313 0.5000 0.8313

Summary:
Raw formation energy, eV per atom: -0.162
Space-group type: Cmmm
Uncorrected energy, eV for the cell shown: -54.76
DOS(E_F), states/eV per atom: 3.376

A relaxed Zr3Sc6Cd crystal, computed with PBE.

a = 4.5523 Å, b = 10.0935 Å, c = 10.2082 Å
α = 90.47°, β = 90.00°, γ = 90.00°
Atoms (fractional coordinates):
Sc1 0.7500 0.3512 0.3016
Sc2 0.2500 0.1533 0.1902
Sc3 0.2500 0.8478 0.3040
Sc4 0.7500 0.7494 0.4987
Sc5 0.7500 0.9490 0.1000
Sc6 0.2500 0.2506 0.5013
Sc7 0.7500 0.5505 0.8985
Sc8 0.2500 0.4495 0.1015
Sc9 0.2500 0.0510 0.9000
Sc10 0.7500 0.8467 0.8098
Sc11 0.7500 0.1522 0.6960
Sc12 0.2500 0.6488 0.6984
Zr1 0.7500 0.6487 0.2049
Zr2 0.2500 0.3513 0.7951
Zr3 0.2500 0.5485 0.3987
Zr4 0.2500 0.7484 0.0123
Zr5 0.7500 0.2516 0.9877
Zr6 0.7500 0.4515 0.6013
Cd1 0.2500 0.9500 0.6012
Cd2 0.7500 0.0500 0.3988

Summary:
Space-group type: P2_1/m
Uncorrected energy, eV for the cell shown: -130.00
DOS(E_F), states/eV per atom: 1.426
ΔE_f, eV per atom: -0.045

A relaxed NaTa3Tc crystal, computed with PBE.

a = 4.8765 Å, b = 4.8765 Å, c = 4.8765 Å
α = 90.00°, β = 90.00°, γ = 90.00°
Atoms (fractional coordinates):
Ta1 0.0000 0.0000 0.5000
Ta2 0.5000 0.0000 0.0000
Ta3 0.0000 0.5000 0.0000
Na1 0.5000 0.5000 0.5000
Tc1 0.0000 0.0000 0.0000

Summary:
Space-group type: Pm-3m
Uncorrected energy, eV for the cell shown: -41.32
DOS(E_F), states/eV per atom: 0.511
ΔE_f, eV per atom: 1.184
Relative energy among the computed polymorphs, meV/atom: 0